Record 1
MnPb2W, optimized geometry, DFT PBE; excess energy over the best structure of this formula in the dataset = 517 meV/atom; calculated volume = 20.7 Å³/atom; energy = -6.44 eV/atom
1.0
5.3429 0.0042 -0.0097
1.6429 5.0840 0.0097
-3.0356 -3.1719 3.0448
Mn Pb W
1 2 1
Cartesian
1.0501 2.2281 1.5272
0.0520 0.0379 0.0000
3.4409 2.5062 0.0000
2.9001 -0.3118 1.5175

---

Record 2
HfP2Au, optimized geometry, DFT PBE; excess energy over the best structure of this formula in the dataset = 0 meV/atom; calculated volume = 23.3 Å³/atom; energy = -6.20 eV/atom
1.0
5.4310 0.0000 0.0000
0.0000 5.4310 0.0000
2.7155 2.7155 6.3068
Hf Au P
2 2 4
Cartesian
2.7155 2.7155 0.0000
2.7155 5.4310 3.1534
0.0000 0.0000 0.0000
5.4310 2.7155 3.1534
4.1277 1.3578 1.5767
1.3033 4.0733 1.5767
4.0733 4.0188 4.7301
6.7888 6.8432 4.7301

---

Record 3
TaCrAs2, optimized geometry, DFT PBE; excess energy over the best structure of this formula in the dataset = 0 meV/atom; calculated volume = 15.9 Å³/atom; energy = -7.82 eV/atom
1.0
-0.8352 2.1120 -4.2064
-0.3338 -1.0809 -4.6446
-4.3778 -0.6097 -0.5664
As Cr Ta
2 1 1
Cartesian
-1.4641 0.9880 -8.8745
-3.8727 0.3634 -7.0790
-3.0563 0.1452 -4.5553
-1.0963 0.1666 -2.4685

---

Record 4
KAu2, optimized geometry, DFT PBE; calculated volume = 22.1 Å³/atom; energy = -2.40 eV/atom
1.0
3.1291 0.0000 0.0000
-1.5645 2.7099 0.0000
0.0000 0.0000 7.8302
Au K
2 1
Cartesian
0.0000 1.8066 5.1005
1.5646 0.9033 2.7297
0.0000 0.0000 0.0000

---

Record 5
RhCOF2, optimized geometry, DFT PBE; excess energy over the best structure of this formula in the dataset = 173 meV/atom; calculated volume = 13.3 Å³/atom; energy = -4.40 eV/atom; formation energy without anion corrections = 651 meV/atom
1.0
-3.3053 -2.4615 0.9801
2.0079 -3.3496 -1.6411
1.5090 -0.7123 3.3003
C Rh O F
1 1 1 2
Cartesian
0.1058 -3.2617 1.3196
0.0000 0.0000 0.0000
0.7545 -0.3562 1.6501
1.0039 -1.6748 -0.8205
-1.6526 -1.2307 0.4900

---

Record 6
Pm2TeS, optimized geometry, DFT PBE; excess energy over the best structure of this formula in the dataset = 68 meV/atom; calculated volume = 27.4 Å³/atom; energy = -5.87 eV/atom; formation energy without anion corrections = -1682 meV/atom
1.0
-2.7553 3.0471 -0.6171
-1.7204 -2.6056 -5.1843
-6.0398 -4.5885 4.3105
Pm Te S
4 2 2
Cartesian
-4.9878 -3.7893 3.5597
-2.3955 -1.8199 1.7096
-5.8822 -2.5479 -0.2998
-3.2899 -0.5785 -2.1499
-6.2195 -5.3744 1.2327
-2.0582 1.0066 0.1771
-5.0819 -1.2906 2.3350
-3.1958 -3.0772 -0.9253

---

Record 7
Ti2Ge4Ir, optimized geometry, DFT PBE; excess energy over the best structure of this formula in the dataset = 0 meV/atom; calculated volume = 17.1 Å³/atom; energy = -6.44 eV/atom
1.0
3.0494 0.0000 0.0000
0.0000 5.4715 0.0496
-1.5247 -2.5984 7.1581
Ti Ge Ir
2 4 1
Cartesian
1.5247 2.8256 3.7139
0.0000 0.0476 3.4938
1.5247 -0.7599 5.5047
0.0000 3.6330 1.7030
1.5247 1.2819 1.5691
0.0000 1.5913 5.6386
0.0000 0.0000 0.0000

---

Record 8
Sc2InCl, optimized geometry, DFT PBE; excess energy over the best structure of this formula in the dataset = 160 meV/atom; calculated volume = 25.2 Å³/atom; energy = -4.93 eV/atom; formation energy without anion corrections = -613 meV/atom
1.0
7.4813 -3.2298 5.1226
8.6509 -3.7890 1.8565
9.0085 -0.6200 3.3323
Sc Cl In
2 1 1
Cartesian
22.9649 -6.9777 9.4190
2.1758 -0.6611 0.8924
0.0000 0.0000 0.0000
12.5703 -3.8194 5.1557

---

Record 9
LiPAu3, optimized geometry, DFT PBE; excess energy over the best structure of this formula in the dataset = 596 meV/atom; calculated volume = 17.9 Å³/atom; energy = -2.85 eV/atom
1.0
4.4748 0.0000 0.0000
0.0000 4.4748 0.0000
0.0000 0.0000 4.4748
P Au Li
1 3 1
Cartesian
2.2374 2.2374 2.2374
0.0000 2.2374 0.0000
0.0000 0.0000 2.2374
2.2374 0.0000 0.0000
0.0000 0.0000 0.0000

---

Record 10
Sc3In2Pd, optimized geometry, DFT PBE; calculated volume = 21.0 Å³/atom; energy = -5.53 eV/atom
1.0
3.2625 0.0000 0.0000
0.0000 3.2625 0.0000
0.0000 0.0000 11.8612
Sc In Pd
3 2 1
Cartesian
0.0000 0.0000 0.0000
0.0000 0.0000 7.6325
0.0000 0.0000 4.2288
1.6313 1.6313 9.7503
1.6313 1.6313 2.1110
1.6313 1.6313 5.9306

---

Record 11
V6GaSi2, optimized geometry, DFT PBE; calculated volume = 13.8 Å³/atom; energy = -7.88 eV/atom; formation energy without anion corrections = -255 meV/atom
1.0
6.8984 -0.1879 -0.3176
-2.7875 6.3129 0.3176
-2.4762 -2.7801 5.8192
V Ga Si
12 2 4
Cartesian
-0.4985 2.1296 4.6892
2.1331 1.2153 1.1300
-2.1597 -0.3455 4.6892
3.7943 3.6904 1.1300
2.0741 3.0500 3.1104
-0.4395 0.2950 2.7088
-3.0015 2.0145 5.6957
4.6361 1.3305 0.1235
2.1916 0.4771 3.8244
-0.5571 2.8678 1.9948
-2.3987 4.1039 4.1420
4.0333 -0.7589 1.6772
-2.6319 1.7664 3.0684
0.0000 0.0000 0.0000
0.2658 -0.1784 5.0187
1.3688 3.5233 0.8005
2.9019 -1.9476 3.6103
1.5202 -1.0203 1.8914

---

Record 12
Tb5Sm2Pt4, optimized geometry, DFT PBE; calculated volume = 28.8 Å³/atom; energy = -5.85 eV/atom
1.0
3.7829 0.0000 0.0000
0.0000 6.7445 0.8226
-1.8915 -0.6601 12.3290
Tb Sm Pt
5 2 4
Cartesian
0.0000 5.2535 3.9612
1.8915 0.8309 9.1904
0.0000 1.5030 6.0061
1.8915 0.0000 0.0000
1.8915 4.5814 7.1455
1.8915 3.9670 10.6580
0.0000 2.1175 2.4937
1.8915 3.1691 4.6093
0.0000 4.6774 1.2128
0.0000 2.9154 8.5423
1.8915 1.4071 11.9389

---

- Among the records above, which one has the highest energy?
  KAu2